No. 1
A relaxed structure of Pr7AsI12, computed with GGA-PBE.

## Properties
Density in Mg/m³: 5.21
Formation energy from raw total energies in kcal/mol of atoms: -31.868
Final energy in Ha/atom: -0.15498

Lattice parameters (Å, degrees): 16.2769 16.2769 10.7779 90.00 90.00 120.00
Space group R-3 (No. 148, hexagonal axes)
Asymmetric unit:
1 Pr 0.0000 0.0000 0.0000 [3 per cell]
2 Pr 0.0461 0.1629 0.3497 [18 per cell]
3 As 0.0000 0.0000 0.5000 [3 per cell]
4 I 0.0223 0.5871 0.1657 [18 per cell]
5 I 0.0518 0.1839 0.8378 [18 per cell]

***

No. 2
A relaxed structure of Pr2AsI2, computed with GGA-PBE.

## Properties
Density in Mg/m³: 5.11
Formation energy from raw total energies in kcal/mol of atoms: -34.721
Final energy in Ha/atom: -0.18255

Lattice parameters (Å, degrees): 7.5405 4.3533 12.4085 90.00 102.94 90.00
Space group C2/m (No. 12)
Asymmetric unit:
1 Pr 0.2165 0.0000 0.1350 [4 per cell]
2 As 0.0000 0.5000 0.0000 [2 per cell]
3 I 0.0534 0.0000 0.6923 [4 per cell]

***

| no. | total magnetization (Bohr magnetons per cell) |
| --- | --- |
| 1 | 0.00 |
| 2 | 0.00 |